Density functional theory data (PBE) for a relaxed Zn15Ru crystal.

For the density, the calculation gives 7.7 Mg/m³. The space-group type is P-6m2, No. 187. Its calculated volume is 233.5 Å³ per cell. The electronic total energy is -28.86 eV for the cell shown.

Cell: 5.5264 5.5264 8.8271 Å, 90.00 90.00 120.00°
With the nearest neighbours (Å) after each atom.
Element x y z (fractional)
1 Zn 0.0000 0.0000 0.5000  12 Zn 2.76
2 Zn 0.0068 0.5034 0.0000  10 Zn 2.69-2.82, 2 Ru 2.76
3 Zn 0.9960 0.4980 0.5000  12 Zn 2.68-2.80
4 Zn 0.4966 0.9932 0.0000  10 Zn 2.69-2.82, 2 Ru 2.76
5 Zn 0.5020 0.0040 0.5000  12 Zn 2.68-2.80
6 Zn 0.4966 0.5034 0.0000  10 Zn 2.69-2.82, 2 Ru 2.76
7 Zn 0.5020 0.4980 0.5000  12 Zn 2.68-2.80
8 Zn 0.8343 0.1657 0.2437  1 Ru 2.67, 11 Zn 2.69-2.78
9 Zn 0.8343 0.1657 0.7563  1 Ru 2.67, 11 Zn 2.69-2.78
10 Zn 0.8343 0.6687 0.2437  1 Ru 2.67, 11 Zn 2.69-2.78
11 Zn 0.8343 0.6687 0.7563  1 Ru 2.67, 11 Zn 2.69-2.78
12 Zn 0.3313 0.1657 0.2437  1 Ru 2.67, 11 Zn 2.69-2.78
13 Zn 0.3313 0.1657 0.7563  1 Ru 2.67, 11 Zn 2.69-2.78
14 Zn 0.3333 0.6667 0.2575  12 Zn 2.68-2.77
15 Zn 0.3333 0.6667 0.7425  12 Zn 2.68-2.77
16 Ru 0.0000 0.0000 0.0000  12 Zn 2.67-2.76